A | A plane-wave DFT calculation with GGA-PBE was carried out for crystalline Sn3PbAu at its relaxed geometry.

The structure in POSCAR format:
```
Sn3PbAu
1.0
-4.3565 0.4270 3.2058
-0.0135 -5.3806 0.6984
3.2341 0.5528 4.3213
Au Pb Sn
1 1 3
Direct
0.0000 0.0000 0.0000
0.5000 0.5000 0.5000
0.0000 0.5000 0.0000
0.0000 0.0000 0.5000
0.5000 0.0000 0.0000
```

## Properties
SG: No. 221
crystal system: cubic
D(E_F): 2.59 states/eV/cell

---

B | A plane-wave DFT calculation with GGA-PBE was carried out for crystalline Sn3PbAu at its relaxed geometry.

The structure in POSCAR format:
```
Sn3PbAu
1.0
-2.8678 -1.1761 4.8571
4.1020 -3.7528 1.5133
2.8546 4.2111 2.7051
Sn Pb Au
3 1 1
Direct
0.5000 0.0000 0.0000
0.0000 0.0000 0.5000
0.0000 0.5000 0.0000
0.0000 0.0000 0.0000
0.5000 0.5000 0.5000
```

## Properties
SG: No. 221
crystal system: cubic
D(E_F): 4.57 states/eV/cell

---

Energies in meV/atom, measured from the most stable structure: A 0; B 658.

---

A | A plane-wave DFT calculation with GGA-PBE was carried out for crystalline Sn2Pb6Au at its relaxed geometry.

The structure in POSCAR format:
```
Sn2Pb6Au
1.0
-1.2515 -2.3765 -3.1916
7.6714 -3.8797 -0.1193
-6.3470 -3.1732 4.8516
Sn Pb Au
2 6 1
Direct
0.0000 0.3332 0.6666
0.0000 0.6666 0.3334
0.5000 0.6144 0.0000
0.0000 0.2522 0.0000
0.0000 0.9999 0.2519
0.5000 0.3856 0.3858
0.0000 0.7480 0.7481
0.5000 0.9998 0.6142
0.5000 0.0003 0.0000
```

## Properties
SG: No. 189
crystal system: hexagonal
D(E_F): 2.76 states/eV/cell

---

B | A plane-wave DFT calculation with GGA-PBE was carried out for crystalline Sn2Pb6Au at its relaxed geometry.

The structure in POSCAR format:
```
Sn2Pb6Au
1.0
6.7621 0.1884 0.1823
2.2956 8.9813 0.5086
2.2956 0.7993 8.9601
Pb Au Sn
12 2 4
Direct
0.2435 0.9982 0.5924
0.4863 0.6684 0.3542
0.2232 0.8009 0.9635
0.2768 0.0365 0.1991
0.5137 0.3316 0.6458
0.2565 0.4076 0.0018
0.7435 0.5924 0.9982
0.7768 0.1991 0.0365
0.9863 0.3542 0.6684
0.0137 0.6458 0.3316
0.7565 0.0018 0.4076
0.7232 0.9635 0.8009
0.2500 0.1260 0.8740
0.7500 0.8740 0.1260
0.8776 0.3366 0.3135
0.1224 0.6634 0.6865
0.6224 0.6865 0.6634
0.3776 0.3135 0.3366
```

## Properties
SG: No. 15
crystal system: monoclinic
D(E_F): 6.92 states/eV/cell

---

Energies in meV/atom, measured from the most stable structure: A 0; B 20.

---

A | A plane-wave DFT calculation with GGA-PBE was carried out for crystalline SnPb3Au3 at its relaxed geometry.

The structure in POSCAR format:
```
SnPb3Au3
1.0
-3.2203 -3.5816 6.1018
-4.8461 -5.7418 -1.9943
2.9089 -7.0894 1.3075
Au Pb Sn
6 6 2
Direct
0.3230 0.9373 0.5284
0.5284 0.3230 0.9373
0.0627 0.4716 0.6770
0.6770 0.0627 0.4716
0.9373 0.5284 0.3230
0.4716 0.6770 0.0627
0.1103 0.8404 0.3498
0.6502 0.8897 0.1596
0.3498 0.1103 0.8404
0.8897 0.1596 0.6502
0.1596 0.6502 0.8897
0.8404 0.3498 0.1103
0.6638 0.6638 0.6638
0.3362 0.3362 0.3362
```

## Properties
SG: No. 148
crystal system: trigonal
D(E_F): 4.65 states/eV/cell

---

B | A plane-wave DFT calculation with GGA-PBE was carried out for crystalline SnPb3Au3 at its relaxed geometry.

The structure in POSCAR format:
```
SnPb3Au3
1.0
-6.7759 3.2021 -0.8882
3.9115 -2.2325 -6.0557
-2.6443 -6.9869 1.8790
Au Pb Sn
6 6 2
Direct
0.1330 0.4390 0.2612
0.9737 0.9737 0.6863
0.5610 0.8670 0.7388
0.4390 0.1330 0.2612
0.0263 0.0263 0.3137
0.8670 0.5610 0.7388
0.6338 0.6338 0.3658
0.3662 0.3662 0.6342
0.2057 0.7943 0.5000
0.2686 0.7314 0.0000
0.7314 0.2686 0.0000
0.7943 0.2057 0.5000
0.2283 0.2283 0.0061
0.7717 0.7717 0.9939
```

## Properties
SG: No. 12
crystal system: monoclinic
D(E_F): 6.17 states/eV/cell

---

Energies in meV/atom, measured from the most stable structure: A 0; B 14.